[1]
VASP calculation (GGA-PBE) on a geometry-optimized KSrTl2 structure.

Results
The value obtained for the volume is 36.67 A^3/atom. For the electronic total energy, the calculation gives -2.10 eV per atom. The formation energy from the elements is -0.22 eV/atom.

```
data_KSrTl2
_space_group_name_H-M_alt 'P 4/m m m'
_space_group_IT_number 123
_space_group_name_Hall '-P 4 2'
_cell_length_a 4.175
_cell_length_b 4.175
_cell_length_c 8.417
_cell_angle_alpha 90.00
_cell_angle_beta 90.00
_cell_angle_gamma 90.00
loop_
_atom_site_label
_atom_site_type_symbol
_atom_site_fract_x
_atom_site_fract_y
_atom_site_fract_z
K1 K 0.000 0.000 0.000
Sr1 Sr 0.000 0.000 0.500
Tl1 Tl 0.500 0.500 0.273
```

---

[2]
VASP calculation (GGA-PBE) on a geometry-optimized Ca3NbHg structure.

Results
The value obtained for the volume is 37.91 A^3/atom. For the electronic total energy, the calculation gives -2.61 eV per atom. The formation energy from the elements is 0.67 eV/atom.

```
data_Ca3NbHg
_space_group_name_H-M_alt 'P m -3 m'
_space_group_IT_number 221
_space_group_name_Hall '-P 4 2 3'
_cell_length_a 5.744
_cell_length_b 5.744
_cell_length_c 5.744
_cell_angle_alpha 90.00
_cell_angle_beta 90.00
_cell_angle_gamma 90.00
loop_
_atom_site_label
_atom_site_type_symbol
_atom_site_fract_x
_atom_site_fract_y
_atom_site_fract_z
Ca1 Ca 0.000 0.000 0.500
Nb1 Nb 0.500 0.500 0.500
Hg1 Hg 0.000 0.000 0.000
```

---

[3]
VASP calculation (GGA-PBE) on a geometry-optimized SrMnS2 structure.

Results
For the formation energy (no corrections), the calculation gives -1.02 eV per atom. The value obtained for the volume is 33.14 A^3/atom. For the electronic total energy, the calculation gives -5.80 eV per atom.

```
data_SrMnS2
_space_group_name_H-M_alt 'R -3 m'
_space_group_IT_number 166
_space_group_name_Hall '-R 3 2"'
_cell_length_a 4.5424
_cell_length_b 4.5424
_cell_length_c 22.2532
_cell_angle_alpha 90.00
_cell_angle_beta 90.00
_cell_angle_gamma 120.00
loop_
_atom_site_label
_atom_site_type_symbol
_atom_site_fract_x
_atom_site_fract_y
_atom_site_fract_z
Sr1 Sr 0.0000 0.0000 0.0000
Mn1 Mn 0.0000 0.0000 0.5000
S1 S 0.0000 0.0000 0.4006
```

---

[4]
VASP calculation (GGA-PBE) on a geometry-optimized CaAgTe2 structure.

Results
For the formation energy (no corrections), the calculation gives -0.54 eV per atom. The value obtained for the volume is 37.59 A^3/atom. For the electronic total energy, the calculation gives -3.33 eV per atom.

```
data_CaAgTe2
_space_group_name_H-M_alt 'R -3 m'
_space_group_IT_number 166
_space_group_name_Hall '-R 3 2"'
_cell_length_a 4.4017
_cell_length_b 4.4017
_cell_length_c 26.8854
_cell_angle_alpha 90.00
_cell_angle_beta 90.00
_cell_angle_gamma 120.00
loop_
_atom_site_label
_atom_site_type_symbol
_atom_site_fract_x
_atom_site_fract_y
_atom_site_fract_z
Ca1 Ca 0.0000 0.0000 0.0000
Ag1 Ag 0.0000 0.0000 0.5000
Te1 Te 0.0000 0.0000 0.4024
```